Material: InPS2F
Method: DFT, meta-GGA SCAN
State: single point on PBEsol structure

Cell: 4.874 4.874 5.159 Å, 90.00 90.00 90.00°
Site moments in Bohr magnetons follow the coordinates.
Fractional positions:
P (0.000, 0.000, 0.500)  0.56
S (0.000, 0.500, 0.000)  -0.59
S (0.500, 0.000, 0.000)  -0.59
F (0.500, 0.500, 0.500)  -0.23
In (0.000, 0.000, 0.000)  0.02

Values from the calculation:
E above lowest polymorph in eV/f.u.: 1.80
Calculated volume in Å³/atom: 24.5
Formation energy (no corrections) in eV/f.u.: 3.91

---

Material: InPS2F
Method: DFT, meta-GGA SCAN
State: single point on PBEsol structure

Cell: 3.639 4.981 4.981 Å, 90.00 90.00 90.00°
Fractional positions:
P (0.500, 0.000, 0.000)
S (0.000, 0.000, 0.500)
S (0.000, 0.500, 0.000)
F (0.000, 0.000, 0.000)
In (0.500, 0.500, 0.500)

Values from the calculation:
E above lowest polymorph in eV/f.u.: 0.00
Calculated volume in Å³/atom: 18.1
Formation energy (no corrections) in eV/f.u.: 2.11

---

Material: In3PbF
Method: DFT, meta-GGA SCAN
State: single point on PBEsol structure

Cell: 4.983 4.983 4.983 Å, 90.00 90.00 90.00°
Fractional positions:
Pb (0.500, 0.500, 0.500)
F (0.000, 0.000, 0.000)
In (0.000, 0.500, 0.000)
In (0.000, 0.000, 0.500)
In (0.500, 0.000, 0.000)

Values from the calculation:
Calculated volume in Å³/atom: 24.7
Formation energy (no corrections) in eV/f.u.: -2.51